{
  "formula": "NaCr2Fe2",
  "functional": "PBE-GGA",
  "state": "relaxed",
  "sg": "P4/mbm",
  "formation_enthalpy_0k_ev_per_atom": 0.498,
  "magnetic_moment_mub_per_cell": 0.00,
  "cell": [[7.159, 0.000, 0.000], [0.000, 7.159, 0.000], [0.000, 0.000, 2.503]],
  "species": ["Na", "Na", "Cr", "Cr", "Cr", "Cr", "Fe", "Fe", "Fe", "Fe"],
  "fractional_positions": [[0.000, 0.000, 0.000], [0.500, 0.500, 0.000], [0.147, 0.353, 0.500], [0.353, 0.853, 0.500], [0.647, 0.147, 0.500], [0.853, 0.647, 0.500], [0.140, 0.640, 0.000], [0.360, 0.140, 0.000], [0.640, 0.860, 0.000], [0.860, 0.360, 0.000]]
}

{
  "formula": "Na3CrFe",
  "functional": "PBE-GGA",
  "state": "relaxed",
  "sg": "Pm-3m",
  "formation_enthalpy_0k_ev_per_atom": 1.402,
  "magnetic_moment_mub_per_cell": 8.54,
  "cell": [[5.622, 0.000, 0.000], [0.000, 5.622, 0.000], [0.000, 0.000, 5.622]],
  "species": ["Na", "Na", "Na", "Cr", "Fe"],
  "fractional_positions": [[0.000, 0.000, 0.500], [0.000, 0.500, 0.000], [0.500, 0.000, 0.000], [0.000, 0.000, 0.000], [0.500, 0.500, 0.500]]
}

{
  "formula": "Na4CrFe2",
  "functional": "PBE-GGA",
  "state": "relaxed",
  "sg": "I4/mmm",
  "formation_enthalpy_0k_ev_per_atom": 1.116,
  "magnetic_moment_mub_per_cell": 10.84,
  "cell": [[-2.822, 2.822, 7.100], [2.822, -2.822, 7.100], [2.822, 2.822, -7.100]],
  "species": ["Na", "Na", "Na", "Na", "Cr", "Fe", "Fe"],
  "fractional_positions": [[0.000, 0.500, 0.500], [0.215, 0.215, 0.000], [0.500, 0.000, 0.500], [0.785, 0.785, 0.000], [0.000, 0.000, 0.000], [0.426, 0.426, 0.000], [0.574, 0.574, 0.000]]
}

{
  "formula": "NaCrFe2",
  "functional": "PBE-GGA",
  "state": "relaxed",
  "sg": "I-42d",
  "formation_enthalpy_0k_ev_per_atom": 0.998,
  "magnetic_moment_mub_per_cell": 3.27,
  "cell": [[-3.412, 3.412, 2.653], [3.412, -3.412, 2.653], [3.412, 3.412, -2.653]],
  "species": ["Na", "Na", "Cr", "Cr", "Fe", "Fe", "Fe", "Fe"],
  "fractional_positions": [[0.000, 0.000, 0.000], [0.750, 0.250, 0.500], [0.250, 0.750, 0.500], [0.500, 0.500, 0.000], [0.171, 0.625, 0.046], [0.375, 0.421, 0.546], [0.579, 0.125, 0.954], [0.875, 0.829, 0.454]]
}

{
  "formula": "NaCr2Fe4",
  "functional": "PBE-GGA",
  "state": "relaxed",
  "sg": "I4/mmm",
  "formation_enthalpy_0k_ev_per_atom": 1.610,
  "magnetic_moment_mub_per_cell": 3.69,
  "cell": [[-2.136, 2.136, 6.160], [2.136, -2.136, 6.160], [2.136, 2.136, -6.160]],
  "species": ["Na", "Cr", "Cr", "Fe", "Fe", "Fe", "Fe"],
  "fractional_positions": [[0.000, 0.000, 0.000], [0.385, 0.385, 0.000], [0.615, 0.615, 0.000], [0.000, 0.500, 0.500], [0.203, 0.203, 0.000], [0.500, 0.000, 0.500], [0.797, 0.797, 0.000]]
}

{
  "formula": "NaCr2Fe2",
  "functional": "PBE-GGA",
  "state": "relaxed",
  "sg": "I4/mmm",
  "formation_enthalpy_0k_ev_per_atom": 0.603,
  "magnetic_moment_mub_per_cell": 0.00,
  "cell": [[-1.951, 1.951, 4.634], [1.951, -1.951, 4.634], [1.951, 1.951, -4.634]],
  "species": ["Na", "Cr", "Cr", "Fe", "Fe"],
  "fractional_positions": [[0.000, 0.000, 0.000], [0.250, 0.750, 0.500], [0.750, 0.250, 0.500], [0.375, 0.375, 0.000], [0.625, 0.625, 0.000]]
}

{
  "formula": "Na2NbCrFe",
  "functional": "PBE-GGA",
  "state": "relaxed",
  "sg": "P4/mmm",
  "formation_enthalpy_0k_ev_per_atom": 1.877,
  "magnetic_moment_mub_per_cell": 0.22,
  "cell": [[4.954, 0.000, 0.000], [0.000, 4.954, 0.000], [0.000, 0.000, 4.445]],
  "species": ["Na", "Na", "Nb", "Cr", "Fe"],
  "fractional_positions": [[0.000, 0.500, 0.000], [0.500, 0.000, 0.000], [0.000, 0.000, 0.500], [0.500, 0.500, 0.500], [0.000, 0.000, 0.000]]
}